[1]
10
Lattice="-2.827 6.357 -4.598 -6.322 1.049 5.337 3.337 3.802 3.205" Properties=species:S:1:pos:R:3 comment="K2LaTl2, optimized geometry, DFT GGA-PBE" mass_density_g_cm3=4.990 dos_ef_per_ev_cell=11.0 magnetic_moment_mub_per_atom=0.163 formation_enthalpy_0k_ev_per_fu=0.26 crystal_system=tetragonal pbc="T T T"
Tl -6.537 3.258 2.942
Tl -6.446 6.187 -0.628
Tl -2.612 4.149 -2.202
Tl -2.703 1.220 1.368
K -3.033 3.672 4.396
K -5.479 7.022 2.968
K -2.780 7.536 -0.451
K -0.333 4.186 0.976
La 0.000 0.000 0.000
La -4.574 3.703 0.370

***

[2]
4
Lattice="3.332 0.000 0.000 0.000 3.332 0.000 0.000 0.000 6.413" Properties=species:S:1:pos:R:3 comment="NdMgNi2, optimized geometry, DFT GGA-PBE" mass_density_g_cm3=6.667 dos_ef_per_ev_cell=1.6 magnetic_moment_mub_per_atom=0.000 formation_enthalpy_0k_ev_per_fu=-0.60 crystal_system=tetragonal pbc="T T T"
Ni 0.000 0.000 4.532
Ni 0.000 0.000 1.881
Mg 1.666 1.666 3.207
Nd 1.666 1.666 0.000